# Ga3HgCl3

Ga3HgCl3 after structural relaxation (GGA-PBE, Alexandria).

## Properties
* ΔE_f (raw): -0.500 eV/atom
* energy relative to the lowest polymorph listed for this composition: 77 meV/atom
* total magnetization: 0.0000 μB per atom
* space group: Pm-3n, No. 223

abc: 8.207 8.207 8.207
angles: 90.00 90.00 90.00
Sites, in units of the cell vectors:
1 Hg 0.500 0.500 0.500
2 Hg 0.000 0.000 0.000
3 Ga 0.000 0.250 0.500
4 Ga 0.000 0.750 0.500
5 Ga 0.500 0.000 0.750
6 Ga 0.750 0.500 0.000
7 Ga 0.500 0.000 0.250
8 Ga 0.250 0.500 0.000
9 Cl 0.250 0.000 0.500
10 Cl 0.000 0.500 0.250
11 Cl 0.500 0.750 0.000
12 Cl 0.750 0.000 0.500
13 Cl 0.000 0.500 0.750
14 Cl 0.500 0.250 0.000

=====

# BaCoTc2

BaCoTc2 after structural relaxation (GGA-PBE, Alexandria).

## Properties
* energy relative to the lowest polymorph listed for this composition: 213 meV/atom
* total magnetization: 0.0000 μB per atom
* space group: Pm, No. 6

abc: 3.708 3.708 6.587
angles: 89.66 90.00 90.00
Sites, in units of the cell vectors:
1 Ba 0.000 0.378 0.545
2 Co 0.500 0.875 0.838
3 Tc 0.000 0.874 0.059
4 Tc 0.500 0.373 0.059

=====

# LiEuBi2

LiEuBi2 after structural relaxation (GGA-PBE, Alexandria).

## Properties
* energy relative to the lowest polymorph listed for this composition: 99 meV/atom
* total magnetization: 1.7319 μB per atom
* space group: Fm-3m, No. 225

abc: 5.499 5.499 5.499
angles: 60.00 60.00 60.00
Last column: magnetic moment on the atom in μB.
Sites, in units of the cell vectors:
1 Eu 0.000 0.000 0.000  6.80
2 Bi 0.250 0.250 0.250  0.00
3 Bi 0.750 0.750 0.750  0.00
4 Li 0.500 0.500 0.500  -0.01

=====

# ScTiO2

ScTiO2 after structural relaxation (GGA-PBE, Alexandria).

## Properties
* ΔE_f (raw): -2.662 eV/atom
* energy relative to the lowest polymorph listed for this composition: 0 meV/atom
* total magnetization: 0.2185 μB per atom
* space group: R-3m, No. 166

abc: 6.147 6.147 6.147
angles: 30.54 30.54 30.54
Last column: magnetic moment on the atom in μB.
Sites, in units of the cell vectors:
1 Sc 0.500 0.500 0.500  0.05
2 O 0.890 0.890 0.890  0.00
3 O 0.110 0.110 0.110  0.00
4 Ti 0.000 0.000 0.000  0.59